Entry 1:
# TcRh2, optimized geometry, DFT GGA-PBEsol
# - spin magnetization (μB per cell) = 0.00
# - DFT formation energy (meV per atom) = -124.7
# - N(E_F) (states/eV/cell) = 5.40
# - crystal system = monoclinic
# - raw total energy (eV per atom) = -9.306
# - volume (Å³ per cell) = 81.23
data_TcRh2
_chemical_formula_sum 'Tc2 Rh4'
_cell_length_a 2.695
_cell_length_b 5.068
_cell_length_c 6.360
_cell_angle_alpha 103.57
_cell_angle_beta 90.00
_cell_angle_gamma 105.42
_symmetry_space_group_name_H-M 'P 1'
_symmetry_Int_Tables_number 1
loop_
_symmetry_equiv_pos_as_xyz
'x,y,z'
loop_
_atom_site_label
_atom_site_type_symbol
_atom_site_fract_x
_atom_site_fract_y
_atom_site_fract_z
Rh1 Rh 0.358 0.717 0.967
Rh2 Rh 0.028 0.056 0.310
Rh3 Rh 0.642 0.283 0.033
Rh4 Rh 0.972 0.944 0.690
Tc1 Tc 0.695 0.390 0.638
Tc2 Tc 0.305 0.610 0.362



Entry 2:
# LiScCu, optimized geometry, DFT GGA-PBEsol
# - spin magnetization (μB per cell) = 0.00
# - DFT formation energy (meV per atom) = 61.3
# - N(E_F) (states/eV/cell) = 2.94
# - crystal system = hexagonal
# - raw total energy (eV per atom) = -4.241
# - volume (Å³ per cell) = 48.45
data_LiScCu
_chemical_formula_sum 'Li1 Sc1 Cu1'
_cell_length_a 3.020
_cell_length_b 4.304
_cell_length_c 4.304
_cell_angle_alpha 120.00
_cell_angle_beta 90.00
_cell_angle_gamma 90.00
_symmetry_space_group_name_H-M 'P 1'
_symmetry_Int_Tables_number 1
loop_
_symmetry_equiv_pos_as_xyz
'x,y,z'
loop_
_atom_site_label
_atom_site_type_symbol
_atom_site_fract_x
_atom_site_fract_y
_atom_site_fract_z
Cu1 Cu 0.000 0.000 0.000
Li1 Li 0.000 0.333 0.667
Sc1 Sc 0.500 0.667 0.333



Entry 3:
# Mg3Tc2, optimized geometry, DFT GGA-PBEsol
# - spin magnetization (μB per cell) = 0.00
# - DFT formation energy (meV per atom) = 231.1
# - N(E_F) (states/eV/cell) = 3.43
# - crystal system = orthorhombic
# - raw total energy (eV per atom) = -5.306
# - volume (Å³ per cell) = 85.48
data_Mg3Tc2
_chemical_formula_sum 'Mg3 Tc2'
_cell_length_a 2.798
_cell_length_b 2.798
_cell_length_c 11.984
_cell_angle_alpha 94.05
_cell_angle_beta 94.05
_cell_angle_gamma 113.25
_symmetry_space_group_name_H-M 'P 1'
_symmetry_Int_Tables_number 1
loop_
_symmetry_equiv_pos_as_xyz
'x,y,z'
loop_
_atom_site_label
_atom_site_type_symbol
_atom_site_fract_x
_atom_site_fract_y
_atom_site_fract_z
Mg1 Mg 0.388 0.388 0.776
Mg2 Mg 0.000 0.000 0.000
Mg3 Mg 0.612 0.612 0.224
Tc1 Tc 0.208 0.208 0.416
Tc2 Tc 0.792 0.792 0.584



Entry 4:
# NdTlS2, optimized geometry, DFT GGA-PBEsol
# - spin magnetization (μB per cell) = 0.00
# - N(E_F) (states/eV/cell) = 0.00
# - formation energy from raw total energies (eV per atom) = -1.439
# - crystal system = trigonal
# - raw total energy (eV per atom) = -5.581
# - volume (Å³ per cell) = 106.93
data_NdTlS2
_chemical_formula_sum 'Nd1 Tl1 S2'
_cell_length_a 4.105
_cell_length_b 4.105
_cell_length_c 7.700
_cell_angle_alpha 74.54
_cell_angle_beta 74.54
_cell_angle_gamma 60.00
_symmetry_space_group_name_H-M 'P 1'
_symmetry_Int_Tables_number 1
loop_
_symmetry_equiv_pos_as_xyz
'x,y,z'
loop_
_atom_site_label
_atom_site_type_symbol
_atom_site_fract_x
_atom_site_fract_y
_atom_site_fract_z
Nd1 Nd 0.000 0.000 0.000
S1 S 0.736 0.736 0.791
S2 S 0.264 0.264 0.209
Tl1 Tl 0.500 0.500 0.500



Entry 5:
# Ba2Ag, optimized geometry, DFT GGA-PBEsol
# - spin magnetization (μB per cell) = 0.00
# - DFT formation energy (meV per atom) = -118.3
# - N(E_F) (states/eV/cell) = 13.14
# - crystal system = orthorhombic
# - raw total energy (eV per atom) = -2.655
# - volume (Å³ per cell) = 479.42
data_Ba2Ag
_chemical_formula_sum 'Ba8 Ag4'
_cell_length_a 5.124
_cell_length_b 8.764
_cell_length_c 10.676
_cell_angle_alpha 90.00
_cell_angle_beta 90.00
_cell_angle_gamma 90.00
_symmetry_space_group_name_H-M 'P 1'
_symmetry_Int_Tables_number 1
loop_
_symmetry_equiv_pos_as_xyz
'x,y,z'
loop_
_atom_site_label
_atom_site_type_symbol
_atom_site_fract_x
_atom_site_fract_y
_atom_site_fract_z
Ag1 Ag 0.250 0.251 0.881
Ag2 Ag 0.750 0.749 0.119
Ag3 Ag 0.750 0.249 0.381
Ag4 Ag 0.250 0.751 0.619
Ba1 Ba 0.750 0.855 0.429
Ba2 Ba 0.750 0.478 0.669
Ba3 Ba 0.250 0.522 0.331
Ba4 Ba 0.750 0.355 0.071
Ba5 Ba 0.250 0.022 0.169
Ba6 Ba 0.250 0.145 0.571
Ba7 Ba 0.750 0.978 0.831
Ba8 Ba 0.250 0.645 0.929



Entry 6:
# Sr2Mg, optimized geometry, DFT GGA-PBEsol
# - spin magnetization (μB per cell) = 0.00
# - DFT formation energy (meV per atom) = -5.0
# - N(E_F) (states/eV/cell) = 6.67
# - crystal system = orthorhombic
# - raw total energy (eV per atom) = -1.804
# - volume (Å³ per cell) = 245.32
data_Sr2Mg
_chemical_formula_sum 'Sr4 Mg2'
_cell_length_a 4.109
_cell_length_b 6.197
_cell_length_c 9.852
_cell_angle_alpha 90.00
_cell_angle_beta 102.04
_cell_angle_gamma 90.00
_symmetry_space_group_name_H-M 'P 1'
_symmetry_Int_Tables_number 1
loop_
_symmetry_equiv_pos_as_xyz
'x,y,z'
loop_
_atom_site_label
_atom_site_type_symbol
_atom_site_fract_x
_atom_site_fract_y
_atom_site_fract_z
Sr1 Sr 0.918 0.250 0.837
Sr2 Sr 0.219 0.250 0.438
Sr3 Sr 0.781 0.750 0.562
Sr4 Sr 0.082 0.750 0.163
Mg1 Mg 0.568 0.250 0.137
Mg2 Mg 0.432 0.750 0.863



Entry 7:
# TcCl, optimized geometry, DFT GGA-PBEsol
# - spin magnetization (μB per cell) = 0.56
# - N(E_F) (states/eV/cell) = 3.04
# - formation energy from raw total energies (eV per atom) = 0.707
# - crystal system = orthorhombic
# - raw total energy (eV per atom) = -5.930
# - volume (Å³ per cell) = 29.85
data_TcCl
_chemical_formula_sum 'Tc1 Cl1'
_cell_length_a 2.795
_cell_length_b 2.978
_cell_length_c 4.061
_cell_angle_alpha 90.00
_cell_angle_beta 90.00
_cell_angle_gamma 117.99
_symmetry_space_group_name_H-M 'P 1'
_symmetry_Int_Tables_number 1
loop_
_symmetry_equiv_pos_as_xyz
'x,y,z'
loop_
_atom_site_label
_atom_site_type_symbol
_atom_site_fract_x
_atom_site_fract_y
_atom_site_fract_z
Tc1 Tc 0.500 0.000 0.500
Cl1 Cl 0.000 0.000 0.000



Entry 8:
# KNa2YSi6O15, optimized geometry, DFT GGA-PBEsol
# - spin magnetization (μB per cell) = 0.00
# - N(E_F) (states/eV/cell) = 0.00
# - formation energy from raw total energies (eV per atom) = -2.794
# - crystal system = orthorhombic
# - raw total energy (eV per atom) = -7.753
# - volume (Å³ per cell) = 684.84
data_KNa2YSi6O15
_chemical_formula_sum 'K2 Na4 Y2 Si12 O30'
_cell_length_a 8.563
_cell_length_b 10.156
_cell_length_c 10.156
_cell_angle_alpha 63.17
_cell_angle_beta 65.07
_cell_angle_gamma 65.07
_symmetry_space_group_name_H-M 'P 1'
_symmetry_Int_Tables_number 1
loop_
_symmetry_equiv_pos_as_xyz
'x,y,z'
loop_
_atom_site_label
_atom_site_type_symbol
_atom_site_fract_x
_atom_site_fract_y
_atom_site_fract_z
O1 O 0.458 0.321 0.179
O2 O 0.104 0.169 0.002
O3 O 0.725 0.169 0.002
O4 O 0.878 0.530 0.713
O5 O 0.275 0.831 0.998
O6 O 0.014 0.763 0.516
O7 O 0.542 0.679 0.821
O8 O 0.775 0.498 0.331
O9 O 0.958 0.679 0.821
O10 O 0.042 0.321 0.179
O11 O 0.750 0.029 0.471
O12 O 0.207 0.016 0.263
O13 O 0.622 0.787 0.970
O14 O 0.293 0.237 0.484
O15 O 0.378 0.213 0.030
O16 O 0.514 0.016 0.263
O17 O 0.986 0.237 0.484
O18 O 0.707 0.763 0.516
O19 O 0.793 0.984 0.737
O20 O 0.225 0.502 0.669
O21 O 0.896 0.831 0.998
O22 O 0.604 0.502 0.669
O23 O 0.250 0.971 0.529
O24 O 0.396 0.498 0.331
O25 O 0.572 0.246 0.610
O26 O 0.122 0.470 0.287
O27 O 0.486 0.984 0.737
O28 O 0.928 0.890 0.254
O29 O 0.428 0.754 0.390
O30 O 0.072 0.110 0.746
Si1 Si 0.181 0.176 0.116
Si2 Si 0.681 0.616 0.676
Si3 Si 0.473 0.824 0.884
Si4 Si 0.819 0.824 0.884
Si5 Si 0.027 0.616 0.676
Si6 Si 0.650 0.068 0.632
Si7 Si 0.150 0.132 0.568
Si8 Si 0.850 0.868 0.432
Si9 Si 0.319 0.384 0.324
Si10 Si 0.350 0.932 0.368
Si11 Si 0.527 0.176 0.116
Si12 Si 0.973 0.384 0.324
K1 K 0.750 0.430 0.070
K2 K 0.250 0.570 0.930
Y1 Y 0.500 0.500 0.500
Y2 Y 0.000 0.000 0.000
Na1 Na 0.243 0.757 0.257
Na2 Na 0.257 0.243 0.743
Na3 Na 0.757 0.243 0.743
Na4 Na 0.743 0.757 0.257



Entry 9:
# Sc3SnMo, optimized geometry, DFT GGA-PBEsol
# - spin magnetization (μB per cell) = 0.00
# - DFT formation energy (meV per atom) = 305.6
# - N(E_F) (states/eV/cell) = 4.62
# - crystal system = cubic
# - raw total energy (eV per atom) = -6.863
# - volume (Å³ per cell) = 119.88
data_Sc3SnMo
_chemical_formula_sum 'Sc3 Sn1 Mo1'
_cell_length_a 4.931
_cell_length_b 4.931
_cell_length_c 4.931
_cell_angle_alpha 90.00
_cell_angle_beta 90.00
_cell_angle_gamma 90.00
_symmetry_space_group_name_H-M 'P 1'
_symmetry_Int_Tables_number 1
loop_
_symmetry_equiv_pos_as_xyz
'x,y,z'
loop_
_atom_site_label
_atom_site_type_symbol
_atom_site_fract_x
_atom_site_fract_y
_atom_site_fract_z
Sn1 Sn 0.500 0.500 0.500
Mo1 Mo 0.000 0.000 0.000
Sc1 Sc 0.000 0.000 0.500
Sc2 Sc 0.000 0.500 0.000
Sc3 Sc 0.500 0.000 0.000



Entry 10:
# La2ScTc, optimized geometry, DFT GGA-PBEsol
# - spin magnetization (μB per cell) = 0.00
# - DFT formation energy (meV per atom) = 120.8
# - N(E_F) (states/eV/cell) = 5.56
# - crystal system = monoclinic
# - raw total energy (eV per atom) = -7.020
# - volume (Å³ per cell) = 101.37
data_La2ScTc
_chemical_formula_sum 'La2 Sc1 Tc1'
_cell_length_a 3.558
_cell_length_b 5.368
_cell_length_c 6.196
_cell_angle_alpha 115.38
_cell_angle_beta 106.68
_cell_angle_gamma 90.00
_symmetry_space_group_name_H-M 'P 1'
_symmetry_Int_Tables_number 1
loop_
_symmetry_equiv_pos_as_xyz
'x,y,z'
loop_
_atom_site_label
_atom_site_type_symbol
_atom_site_fract_x
_atom_site_fract_y
_atom_site_fract_z
Tc1 Tc 0.242 0.733 0.483
La1 La 0.953 0.956 0.906
La2 La 0.750 0.253 0.500
Sc1 Sc 0.555 0.558 0.110



Entry 11:
# SrSi2Se, optimized geometry, DFT GGA-PBEsol
# - spin magnetization (μB per cell) = 0.00
# - N(E_F) (states/eV/cell) = 2.08
# - formation energy from raw total energies (eV per atom) = 0.184
# - crystal system = trigonal
# - raw total energy (eV per atom) = -4.112
# - volume (Å³ per cell) = 92.27
data_SrSi2Se
_chemical_formula_sum 'Sr1 Si2 Se1'
_cell_length_a 3.606
_cell_length_b 3.606
_cell_length_c 8.455
_cell_angle_alpha 77.69
_cell_angle_beta 77.69
_cell_angle_gamma 60.00
_symmetry_space_group_name_H-M 'P 1'
_symmetry_Int_Tables_number 1
loop_
_symmetry_equiv_pos_as_xyz
'x,y,z'
loop_
_atom_site_label
_atom_site_type_symbol
_atom_site_fract_x
_atom_site_fract_y
_atom_site_fract_z
Se1 Se 0.000 0.000 0.000
Si1 Si 0.266 0.266 0.202
Si2 Si 0.734 0.734 0.798
Sr1 Sr 0.500 0.500 0.500



Entry 12:
# BeAlGaFe2, optimized geometry, DFT GGA-PBEsol
# - spin magnetization (μB per cell) = 3.99
# - DFT formation energy (meV per atom) = 1077.7
# - N(E_F) (states/eV/cell) = 3.41
# - crystal system = tetragonal
# - raw total energy (eV per atom) = -4.794
# - volume (Å³ per cell) = 75.57
data_BeAlGaFe2
_chemical_formula_sum 'Be1 Al1 Ga1 Fe2'
_cell_length_a 4.136
_cell_length_b 4.274
_cell_length_c 4.274
_cell_angle_alpha 90.00
_cell_angle_beta 90.00
_cell_angle_gamma 90.00
_symmetry_space_group_name_H-M 'P 1'
_symmetry_Int_Tables_number 1
loop_
_symmetry_equiv_pos_as_xyz
'x,y,z'
loop_
_atom_site_label
_atom_site_type_symbol
_atom_site_fract_x
_atom_site_fract_y
_atom_site_fract_z
Al1 Al 0.000 0.000 0.000
Fe1 Fe 0.000 0.000 0.500
Fe2 Fe 0.000 0.500 0.000
Be1 Be 0.500 0.000 0.000
Ga1 Ga 0.500 0.500 0.500